Ce6CoTcPb2 (GGA-PBE, optimized geometry); theoretical density = 8.23 Mg/m³; total moment = 4.3 μB per cell; ΔH_f (0 K) = -237 meV per atom
1.0
7.387 -0.001 0.000
-0.001 7.387 0.000
3.692 3.692 5.221
Ce Tc Pb Co
6 1 2 1
Direct
0.254 0.746 0.000
0.254 0.254 0.492
0.746 0.746 0.508
0.746 0.254 0.000
0.746 0.746 0.000
0.254 0.254 0.000
0.000 0.000 0.000
0.750 0.250 0.500
0.250 0.750 0.500
0.500 0.500 0.000

ZrCdIr2C (GGA-PBE, optimized geometry); theoretical density = 12.79 Mg/m³; total moment = 0.0 μB per cell; ΔH_f (0 K) = 11 meV per atom
1.0
4.165 0.000 0.000
0.000 4.490 0.000
0.000 0.000 4.165
C Zr Cd Ir
1 1 1 2
Direct
0.000 0.000 0.000
0.000 0.500 0.000
0.500 0.500 0.500
0.000 0.000 0.500
0.500 0.000 0.000

SrBe2P (GGA-PBE, optimized geometry); theoretical density = 3.12 Mg/m³; total moment = 0.0 μB per cell; ΔH_f (0 K) = -174 meV per atom
1.0
-2.375 -3.307 0.332
1.031 -3.604 1.623
-2.019 0.081 5.346
Be P Sr
2 1 1
Direct
0.288 0.288 0.191
0.991 0.991 0.177
0.501 0.501 0.372
0.720 0.720 0.760

Li2TiTe3 (GGA-PBE, optimized geometry); theoretical density = 4.98 Mg/m³; total moment = 0.0 μB per cell; E_form (uncorrected) = -769 meV/atom
1.0
-2.126 -4.116 -6.405
2.899 -6.610 0.856
-2.772 -6.238 2.499
Te Li Ti
6 4 2
Direct
0.424 0.151 0.154
0.750 0.487 0.513
0.576 0.849 0.846
0.924 0.154 0.151
0.076 0.846 0.849
0.250 0.513 0.487
0.082 0.332 0.337
0.418 0.663 0.668
0.582 0.337 0.332
0.918 0.668 0.663
0.750 0.926 0.074
0.250 0.074 0.926

TbSm2Y5Sc (GGA-PBE, optimized geometry); theoretical density = 5.42 Mg/m³; total moment = 0.0 μB per cell; ΔH_f (0 K) = 155 meV per atom
1.0
5.564 0.000 0.000
-2.782 10.083 0.000
0.000 0.000 10.359
Y Sm Tb Sc
10 4 2 2
Direct
0.701 0.402 0.201
0.518 0.036 0.239
0.271 0.542 0.331
0.631 0.262 0.521
0.482 0.964 0.739
0.729 0.458 0.831
0.369 0.738 0.021
0.984 0.968 0.515
0.016 0.032 0.015
0.299 0.598 0.701
0.116 0.232 0.735
0.111 0.222 0.314
0.889 0.778 0.814
0.884 0.768 0.235
0.407 0.815 0.452
0.593 0.185 0.952
0.808 0.617 0.517
0.192 0.383 0.017

TlHg4Pd7 (GGA-PBE, optimized geometry); theoretical density = 12.42 Mg/m³; total moment = 0.0 μB per cell; ΔH_f (0 K) = -23 meV per atom
1.0
-2.607 0.039 -4.369
-1.133 -8.679 -2.363
-5.846 -0.106 0.525
Pd Hg Tl
7 4 1
Direct
0.657 0.464 0.223
0.035 0.621 0.309
0.795 0.920 0.491
0.343 0.536 0.777
0.205 0.080 0.509
0.500 0.000 0.000
0.965 0.379 0.691
0.412 0.769 0.408
0.588 0.231 0.592
0.265 0.315 0.155
0.735 0.685 0.845
0.000 0.000 0.000

GdHoLu2 (GGA-PBE, optimized geometry); theoretical density = 9.15 Mg/m³; total moment = 7.4 μB per cell; ΔH_f (0 K) = 34 meV per atom; excess energy over the best structure of this formula in the dataset = 0.004 eV per atom
1.0
-0.756 -3.229 1.146
2.898 0.023 1.977
-5.161 3.875 7.517
Ho Gd Lu
1 1 2
Direct
0.500 0.500 0.500
0.500 0.500 0.000
0.000 0.000 0.747
0.000 0.000 0.253

> Number 2 is which compound?

ZrCdIr2C

> Look up the theoretical density of the first one.

8.23 Mg/m³